RbTcMo: relaxed, GGA-PBE.

Total energy: -63.70 eV/cell
Calculated volume: 271.09 Å³ per cell

Unit cell a=6.472 b=6.472 c=6.472 alpha=90.00 beta=90.00 gamma=90.00
Space group F-43m (No. 216)
Unique sites:
Rb  0.000  0.000  0.000
Tc  0.250  0.250  0.750
Mo  0.000  0.000  0.500

---

YHf2Cu: relaxed, GGA-PBE.

Total energy: -115.86 eV/cell
Calculated volume: 343.60 Å³ per cell
ΔH_f (0 K): 0.28 eV per atom

Unit cell a=7.004 b=7.004 c=7.004 alpha=90.00 beta=90.00 gamma=90.00
Space group F-43m (No. 216)
Unique sites:
Y  0.000  0.000  0.000
Hf  0.000  0.000  0.500
Hf  0.250  0.250  0.750
Cu  0.250  0.250  0.250

---

NbAg2WS6: relaxed, GGA-PBE.

Total energy: -215.35 eV/cell
Calculated volume: 865.59 Å³ per cell

Unit cell a=9.530 b=9.530 c=9.530 alpha=90.00 beta=90.00 gamma=90.00
Space group Fm-3m (No. 225)
Unique sites:
Nb  0.000  0.000  0.000
Ag  0.250  0.250  0.250
W  0.000  0.000  0.500
S  0.000  0.000  0.253

---

AgBiSeF2: relaxed, GGA-PBE.

Total energy: -82.27 eV/cell
Calculated volume: 412.13 Å³ per cell

Unit cell a=3.862 b=14.373 c=7.424 alpha=90.00 beta=90.00 gamma=90.00
Space group Cmcm (No. 63)
Unique sites:
Ag  0.000  0.000  0.000
Bi  0.000  0.252  0.250
Se  0.000  0.108  0.750
F  0.000  0.307  0.561